{"formula": "MgMn2In2Pt5", "functional": "PBE", "state": "optimized geometry", "dft_energy_ev_per_atom": -5.904, "e_form_ev_per_atom": -0.3422, "cell": [[4.0417, 0.0000, 0.0000], [0.0000, 9.2365, 0.0000], [0.0000, 0.0000, 9.2365]], "species": ["Mg", "Mg", "Mn", "Mn", "Mn", "Mn", "In", "In", "In", "In", "Pt", "Pt", "Pt", "Pt", "Pt", "Pt", "Pt", "Pt", "Pt", "Pt"], "fractional_positions": [[0.0000, 0.0000, 0.0000], [0.0000, 0.5000, 0.5000], [0.0000, 0.1234, 0.6234], [0.0000, 0.8766, 0.3766], [0.0000, 0.6234, 0.8766], [0.0000, 0.3766, 0.1234], [0.0000, 0.6729, 0.1729], [0.0000, 0.3271, 0.8271], [0.0000, 0.1729, 0.3271], [0.0000, 0.8271, 0.6729], [0.5000, 0.1972, 0.0816], [0.5000, 0.8028, 0.9184], [0.5000, 0.0816, 0.8028], [0.5000, 0.6972, 0.4184], [0.5000, 0.9184, 0.1972], [0.5000, 0.3028, 0.5816], [0.5000, 0.5816, 0.6972], [0.5000, 0.4184, 0.3028], [0.5000, 0.5000, 0.0000], [0.5000, 0.0000, 0.5000]]}

---

{"formula": "PtPbAu2", "functional": "PBE", "state": "optimized geometry", "dft_energy_ev_per_atom": -4.069, "e_form_ev_per_atom": 0.0066, "cell": [[4.1427, 0.0000, 0.0000], [0.0000, 3.6853, 0.0337], [0.0000, 1.9913, 5.4433]], "species": ["Au", "Au", "Pb", "Pt"], "fractional_positions": [[0.0000, 0.8065, 0.0510], [0.5000, 0.2405, 0.1731], [0.0000, 0.5202, 0.5687], [0.5000, 0.9327, 0.7072]]}

---

{"formula": "RbPb3F", "functional": "PBE", "state": "optimized geometry", "e_above_lowest_polymorph_mev_per_atom": 0, "raw_formation_energy_ev_per_atom": -0.45, "dft_energy_ev_per_atom": -3.242, "cell": [[-1.8149, 5.0675, -0.2146], [-1.7593, -0.8428, -5.0213], [-4.7571, -1.6216, 1.9389]], "species": ["Pb", "Pb", "Pb", "Rb", "F"], "fractional_positions": [[0.0000, 0.5000, 0.0000], [0.0000, 0.0000, 0.5000], [0.5000, 0.0000, 0.0000], [0.5000, 0.5000, 0.5000], [0.0000, 0.0000, 0.0000]]}

---

{"formula": "BaBiIr3", "functional": "PBE", "state": "optimized geometry", "e_above_lowest_polymorph_mev_per_atom": 1296, "dft_energy_ev_per_atom": -4.079, "e_form_ev_per_atom": 2.3985, "cell": [[5.1266, 0.0000, 0.0000], [0.0000, 5.1266, 0.0000], [0.0000, 0.0000, 5.1266]], "species": ["Ir", "Ir", "Ir", "Bi", "Ba"], "fractional_positions": [[0.0000, 0.5000, 0.0000], [0.0000, 0.0000, 0.5000], [0.5000, 0.0000, 0.0000], [0.5000, 0.5000, 0.5000], [0.0000, 0.0000, 0.0000]]}

---

{"formula": "Nd8YHo5", "functional": "PBE", "state": "optimized geometry", "dft_energy_ev_per_atom": -4.572, "e_form_ev_per_atom": 0.2495, "cell": [[-2.6952, -2.5118, 7.7557], [-5.0728, -3.0975, -6.1965], [8.0267, -2.9401, -0.8078]], "species": ["Nd", "Nd", "Nd", "Nd", "Nd", "Nd", "Nd", "Nd", "Y", "Ho", "Ho", "Ho", "Ho", "Ho"], "fractional_positions": [[0.1643, 0.7337, 0.0762], [0.9238, 0.0881, 0.6575], [0.7311, 0.2579, 0.3352], [0.6648, 0.3959, 0.9228], [0.5269, 0.6041, 0.2689], [0.5694, 0.9119, 0.8357], [0.3425, 0.2663, 0.4306], [0.0772, 0.7421, 0.4731], [0.2500, 0.5000, 0.7500], [0.0352, 0.3127, 0.1312], [0.8688, 0.9040, 0.1815], [0.8185, 0.6873, 0.7225], [0.5000, 0.0000, 0.5000], [0.2775, 0.0960, 0.9648]]}

---

{"formula": "Pm3BiP2Rh9", "functional": "PBE", "state": "optimized geometry", "dft_energy_ev_per_atom": -6.939, "e_form_ev_per_atom": -0.5978, "cell": [[-0.6332, 5.8265, -1.6731], [1.0546, -4.2815, -4.2077], [-9.3170, -1.3025, -1.0098]], "species": ["Pm", "Pm", "Pm", "Bi", "P", "P", "Rh", "Rh", "Rh", "Rh", "Rh", "Rh", "Rh", "Rh", "Rh"], "fractional_positions": [[0.3333, 0.6667, 0.7213], [0.0000, 0.0000, 0.0000], [0.6667, 0.3333, 0.2787], [0.0000, 0.0000, 0.5000], [0.3333, 0.6667, 0.1561], [0.6667, 0.3333, 0.8439], [0.8479, 0.1521, 0.7323], [0.8479, 0.6957, 0.7323], [0.3043, 0.1521, 0.7323], [0.6957, 0.8479, 0.2677], [0.1521, 0.3043, 0.2677], [0.1521, 0.8479, 0.2677], [0.5000, 0.0000, 0.0000], [0.0000, 0.5000, 0.0000], [0.5000, 0.5000, 0.0000]]}

---

{"formula": "Ca2Tl", "functional": "PBE", "state": "optimized geometry", "dft_energy_ev_per_atom": -2.309, "e_form_ev_per_atom": -0.1859, "cell": [[1.9479, -8.9510, 0.0000], [1.9479, 8.9510, 0.0000], [0.0000, 0.0000, 6.1017]], "species": ["Ca", "Ca", "Ca", "Ca", "Tl", "Tl"], "fractional_positions": [[0.6361, 0.3639, 0.7500], [0.9368, 0.0632, 0.7500], [0.0632, 0.9368, 0.2500], [0.3639, 0.6361, 0.2500], [0.2845, 0.7155, 0.7500], [0.7155, 0.2845, 0.2500]]}

---

{"formula": "SiSbTe2Pb", "functional": "PBE", "state": "optimized geometry", "e_above_lowest_polymorph_mev_per_atom": 808, "raw_formation_energy_ev_per_atom": 1.11, "dft_energy_ev_per_atom": -2.798, "cell": [[-3.0761, 4.5108, -1.8793], [-4.2656, -3.5621, -1.5679], [-2.3909, 0.5546, 5.2447]], "species": ["Pb", "Sb", "Si", "Te", "Te"], "fractional_positions": [[0.0000, 0.0000, 0.0000], [0.0000, 0.0000, 0.5000], [0.5000, 0.5000, 0.5000], [0.0000, 0.5000, 0.0000], [0.5000, 0.0000, 0.0000]]}

---

{"formula": "Pm4ThSb2", "functional": "PBE", "state": "optimized geometry", "raw_formation_energy_ev_per_atom": 0.28, "dft_energy_ev_per_atom": -4.676, "cell": [[5.5997, 0.0000, 0.0000], [0.0000, 5.5997, 0.0000], [-2.7999, -2.7999, 8.4412]], "species": ["Pm", "Pm", "Pm", "Pm", "Th", "Sb", "Sb"], "fractional_positions": [[0.8129, 0.8129, 0.6258], [0.1871, 0.1871, 0.3742], [0.0000, 0.5000, 0.0000], [0.5000, 0.0000, 0.0000], [0.0000, 0.0000, 0.0000], [0.6304, 0.6304, 0.2607], [0.3696, 0.3696, 0.7393]]}

---

{"formula": "SrHg2H2", "functional": "PBE", "state": "optimized geometry", "e_above_lowest_polymorph_mev_per_atom": 184, "dft_energy_ev_per_atom": -1.730, "cell": [[-1.6640, 2.4179, 3.2368], [-2.9099, -3.1457, 0.8539], [0.8774, -2.4305, 5.2159]], "species": ["Sr", "Hg", "Hg", "H", "H"], "fractional_positions": [[0.0000, 0.0000, 0.0000], [0.3446, 0.3446, 0.3108], [0.6554, 0.6554, 0.6892], [0.7500, 0.2500, 0.5000], [0.2500, 0.7500, 0.5000]]}

---

{"formula": "In3TcNi", "functional": "PBE", "state": "optimized geometry", "e_above_lowest_polymorph_mev_per_atom": 202, "dft_energy_ev_per_atom": -3.981, "e_form_ev_per_atom": 0.8918, "cell": [[5.1363, 0.0000, 0.0000], [0.0000, 5.1363, 0.0000], [0.0000, 0.0000, 5.1363]], "species": ["Ni", "Tc", "In", "In", "In"], "fractional_positions": [[0.5000, 0.5000, 0.5000], [0.0000, 0.0000, 0.0000], [0.0000, 0.5000, 0.0000], [0.0000, 0.0000, 0.5000], [0.5000, 0.0000, 0.0000]]}

---

{"formula": "CuIr2WI", "functional": "PBE", "state": "optimized geometry", "raw_formation_energy_ev_per_atom": 2.07, "dft_energy_ev_per_atom": -5.196, "cell": [[4.5636, 0.0000, 0.0000], [0.0000, 4.7082, 0.0000], [0.0000, 0.0000, 4.5636]], "species": ["I", "Ir", "Ir", "Cu", "W"], "fractional_positions": [[0.0000, 0.5000, 0.0000], [0.0000, 0.0000, 0.5000], [0.5000, 0.0000, 0.0000], [0.0000, 0.0000, 0.0000], [0.5000, 0.5000, 0.5000]]}

---

{"formula": "CePmP", "functional": "PBE", "state": "optimized geometry", "e_above_lowest_polymorph_mev_per_atom": 155, "dft_energy_ev_per_atom": -6.062, "e_form_ev_per_atom": -0.6975, "cell": [[3.6049, 0.0000, 0.0000], [0.0000, 3.6049, 0.0000], [-1.8025, -1.8025, 6.1415]], "species": ["P", "Ce", "Pm"], "fractional_positions": [[0.6190, 0.6190, 0.2380], [0.2433, 0.2433, 0.4867], [0.9877, 0.9877, 0.9753]]}

---

{"formula": "CaMnTe4", "functional": "PBE", "state": "optimized geometry", "raw_formation_energy_ev_per_atom": 0.25, "dft_energy_ev_per_atom": -3.705, "cell": [[3.7644, 2.3636, 4.6261], [-1.1055, -1.5322, 6.1309], [4.0575, -3.8662, 3.1220]], "species": ["Ca", "Mn", "Te", "Te", "Te", "Te"], "fractional_positions": [[0.7500, 0.7500, 0.7500], [0.0000, 0.0000, 0.0000], [0.8757, 0.3748, 0.3748], [0.3748, 0.3748, 0.8757], [0.3748, 0.8757, 0.3748], [0.3748, 0.3748, 0.3748]]}

---

{"formula": "AlSe3F", "functional": "PBE", "state": "optimized geometry", "e_above_lowest_polymorph_mev_per_atom": 0, "raw_formation_energy_ev_per_atom": 0.05, "dft_energy_ev_per_atom": -3.167, "cell": [[4.8241, 0.0000, 0.0000], [0.0000, 4.8241, 0.0000], [0.0000, 0.0000, 4.8241]], "species": ["Al", "Se", "Se", "Se", "F"], "fractional_positions": [[0.0000, 0.0000, 0.0000], [0.0000, 0.5000, 0.0000], [0.0000, 0.0000, 0.5000], [0.5000, 0.0000, 0.0000], [0.5000, 0.5000, 0.5000]]}

---

{"formula": "CuAg2SnI", "functional": "PBE", "state": "optimized geometry", "raw_formation_energy_ev_per_atom": 0.86, "dft_energy_ev_per_atom": -2.210, "cell": [[5.5034, 0.0000, 0.0000], [0.0000, 4.8810, 0.0000], [0.0000, 0.0000, 5.5034]], "species": ["I", "Cu", "Sn", "Ag", "Ag"], "fractional_positions": [[0.0000, 0.0000, 0.0000], [0.0000, 0.5000, 0.0000], [0.5000, 0.5000, 0.5000], [0.0000, 0.0000, 0.5000], [0.5000, 0.0000, 0.0000]]}

---

{"formula": "NpTi3", "functional": "PBE", "state": "optimized geometry", "e_above_lowest_polymorph_mev_per_atom": 74, "dft_energy_ev_per_atom": -8.924, "e_form_ev_per_atom": 0.2321, "cell": [[4.6623, 0.0000, 0.0000], [2.3311, 4.0376, 0.0000], [2.3311, 1.3459, 3.8067]], "species": ["Np", "Ti", "Ti", "Ti"], "fractional_positions": [[0.5000, 0.5000, 0.5000], [0.0000, 0.0000, 0.0000], [0.7500, 0.7500, 0.7500], [0.2500, 0.2500, 0.2500]]}

---

{"formula": "TbNdCu2", "functional": "PBE", "state": "optimized geometry", "e_above_lowest_polymorph_mev_per_atom": 0, "dft_energy_ev_per_atom": -4.604, "e_form_ev_per_atom": -0.2063, "cell": [[-1.5116, 2.1973, -2.7820], [-3.7352, -2.5298, 0.0314], [-1.3209, 2.0133, 5.0692]], "species": ["Tb", "Nd", "Cu", "Cu"], "fractional_positions": [[0.4424, 0.5000, 0.4252], [0.7265, 0.0000, 0.9904], [0.1513, 0.5000, 0.8368], [0.0107, 0.0000, 0.5657]]}

---

{"formula": "Ac2In5Pt", "functional": "PBE", "state": "optimized geometry", "dft_energy_ev_per_atom": -3.992, "e_form_ev_per_atom": -0.4984, "cell": [[4.7768, 0.0000, 0.0000], [-2.3884, 9.3695, 0.0000], [0.0000, 0.0000, 10.2094]], "species": ["Ac", "Ac", "Ac", "Ac", "In", "In", "In", "In", "In", "In", "In", "In", "In", "In", "Pt", "Pt"], "fractional_positions": [[0.8127, 0.6255, 0.7500], [0.1873, 0.3745, 0.2500], [0.0000, 0.0000, 0.0000], [0.0000, 0.0000, 0.5000], [0.1938, 0.3877, 0.8934], [0.8062, 0.6123, 0.1066], [0.1938, 0.3877, 0.6066], [0.8062, 0.6123, 0.3934], [0.3601, 0.7202, 0.9794], [0.6399, 0.2798, 0.0206], [0.3601, 0.7202, 0.5206], [0.6399, 0.2798, 0.4794], [0.5765, 0.1530, 0.7500], [0.4235, 0.8470, 0.2500], [0.4330, 0.8660, 0.7500], [0.5670, 0.1340, 0.2500]]}

---

{"formula": "ScCrB2", "functional": "PBE", "state": "optimized geometry", "e_above_lowest_polymorph_mev_per_atom": 0, "dft_energy_ev_per_atom": -7.130, "e_form_ev_per_atom": 0.1977, "cell": [[0.0000, 2.7958, 2.7958], [2.7958, 0.0000, 2.7958], [2.7958, 2.7958, 0.0000]], "species": ["Sc", "Cr", "B", "B"], "fractional_positions": [[0.0000, 0.0000, 0.0000], [0.5000, 0.5000, 0.5000], [0.2500, 0.2500, 0.2500], [0.7500, 0.7500, 0.7500]]}

---

{"formula": "YErHgTe", "functional": "PBE", "state": "optimized geometry", "raw_formation_energy_ev_per_atom": -0.86, "dft_energy_ev_per_atom": -4.475, "cell": [[4.1218, 0.0000, 0.0000], [2.0609, 3.5696, 0.0000], [2.0609, 1.1899, 7.7917]], "species": ["Y", "Er", "Hg", "Te"], "fractional_positions": [[0.5008, 0.5008, 0.4975], [0.9988, 0.9988, 0.0036], [0.2512, 0.2512, 0.2463], [0.7491, 0.7491, 0.7526]]}

---

{"formula": "Cs2ScTiF6", "functional": "PBE", "state": "optimized geometry", "raw_formation_energy_ev_per_atom": -2.94, "dft_energy_ev_per_atom": -5.656, "cell": [[6.2301, 0.0000, 0.0000], [0.0000, 6.2301, 0.0000], [3.1150, 3.1150, 4.4044]], "species": ["Cs", "Cs", "Sc", "F", "F", "F", "F", "F", "F", "Ti"], "fractional_positions": [[0.7500, 0.2500, 0.5000], [0.2500, 0.7500, 0.5000], [0.5000, 0.5000, 0.0000], [0.2584, 0.2584, 0.4833], [0.7416, 0.7416, 0.5167], [0.2585, 0.2585, 0.0000], [0.7415, 0.7415, 0.0000], [0.7415, 0.2585, 0.0000], [0.2585, 0.7415, 0.0000], [0.0000, 0.0000, 0.0000]]}

---

{"formula": "TbI3", "functional": "PBE", "state": "optimized geometry", "raw_formation_energy_ev_per_atom": -1.36, "dft_energy_ev_per_atom": -3.681, "cell": [[-1.1523, 0.8925, -3.7304], [-7.3984, -1.7889, 1.8573], [3.2622, 6.4549, 2.6865]], "species": ["I", "I", "I", "Tb"], "fractional_positions": [[0.3411, 0.7344, 0.6822], [0.5000, 0.3384, 0.0000], [0.6589, 0.0521, 0.3178], [0.0000, 0.0418, 0.0000]]}

---

{"formula": "Li3ReC", "functional": "PBE", "state": "optimized geometry", "e_above_lowest_polymorph_mev_per_atom": 1253, "dft_energy_ev_per_atom": -2.889, "e_form_ev_per_atom": 2.5941, "cell": [[4.8173, 0.0000, 0.0000], [0.0000, 4.8173, 0.0000], [0.0000, 0.0000, 4.8173]], "species": ["Re", "C", "Li", "Li", "Li"], "fractional_positions": [[0.0000, 0.0000, 0.0000], [0.5000, 0.5000, 0.5000], [0.0000, 0.5000, 0.0000], [0.0000, 0.0000, 0.5000], [0.5000, 0.0000, 0.0000]]}

---

{"formula": "Er6Ag5Ru", "functional": "PBE", "state": "optimized geometry", "dft_energy_ev_per_atom": -4.602, "e_form_ev_per_atom": -0.3596, "cell": [[0.0336, -4.5599, 2.1429], [4.2794, -2.4045, -5.1835], [6.0672, -0.3161, 5.1555]], "species": ["Ru", "Ag", "Ag", "Ag", "Ag", "Ag", "Er", "Er", "Er", "Er", "Er", "Er"], "fractional_positions": [[0.0000, 0.0000, 0.0000], [0.6674, 0.5000, 0.6653], [0.3283, 0.0000, 0.3434], [0.0000, 0.5000, 0.0000], [0.6717, 0.0000, 0.6566], [0.3326, 0.5000, 0.3347], [0.8410, 0.7577, 0.3180], [0.8410, 0.2423, 0.3180], [0.5000, 0.2347, 0.0000], [0.5000, 0.7653, 0.0000], [0.1590, 0.7577, 0.6820], [0.1590, 0.2423, 0.6820]]}